Entry 1:
# GePtSeBr2 PBE-GGA relaxed
data_GePtSeBr2
_chemical_formula_sum 'Ge1 Pt1 Se1 Br2'
_symmetry_space_group_name_H-M 'P 4/m m m'
_symmetry_Int_Tables_number 123
_symmetry_space_group_name_Hall '-P 4 2'
_cell_length_a 5.072
_cell_length_b 5.072
_cell_length_c 5.235
_cell_angle_alpha 90.00
_cell_angle_beta 90.00
_cell_angle_gamma 90.00
loop_
_atom_site_label
_atom_site_fract_x
_atom_site_fract_y
_atom_site_fract_z
Ge1 0.000 0.000 0.000
Pt1 0.500 0.500 0.500
Se1 0.000 0.000 0.500
Br1 0.000 0.500 0.000
# **Formation energy from raw total energies**: 0.7235 eV/atom
# **Total magnetic moment**: 1.252 μB/f.u.
# **Energy above the lowest structure with this stoichiometry**: 0.456 eV/atom
# **V**: 134.7 Å³/cell

---

Entry 2:
# Mg4Si7 PBE-GGA relaxed
data_Mg4Si7
_chemical_formula_sum 'Mg16 Si28'
_symmetry_space_group_name_H-M 'C 1 m 1'
_symmetry_Int_Tables_number 8
_cell_length_a 29.584
_cell_length_b 4.046
_cell_length_c 6.657
_cell_angle_alpha 90.00
_cell_angle_beta 92.93
_cell_angle_gamma 90.00
loop_
_symmetry_equiv_pos_as_xyz
'x,y,z'
'x,-y,z'
'x+1/2,y+1/2,z'
'x+1/2,-y+1/2,z'
loop_
_atom_site_label
_atom_site_fract_x
_atom_site_fract_y
_atom_site_fract_z
Mg1 0.000 0.000 0.000
Mg2 0.022 0.000 0.461
Mg3 0.066 0.500 0.161
Mg4 0.103 0.000 0.854
Mg5 0.140 0.000 0.363
Mg6 0.230 0.500 0.387
Mg7 0.272 0.500 0.891
Mg8 0.357 0.000 0.917
Si1 0.029 0.500 0.767
Si2 0.090 0.500 0.547
Si3 0.160 0.500 0.071
Si4 0.165 0.500 0.706
Si5 0.212 0.000 0.066
Si6 0.213 0.000 0.694
Si7 0.290 0.000 0.216
Si8 0.293 0.000 0.590
Si9 0.337 0.500 0.221
Si10 0.341 0.500 0.588
Si11 0.414 0.500 0.114
Si12 0.417 0.500 0.740
Si13 0.452 0.000 0.610
Si14 0.457 0.000 0.244
# **Formation energy from raw total energies**: 0.0960 eV/atom
# **Total magnetic moment**: 0.000 μB/f.u.
# **Energy above the lowest structure with this stoichiometry**: 0.000 eV/atom
# **V**: 795.8 Å³/cell

---

> Among the records above, which one has the lowest V?

GePtSeBr2

---

> What is the V in the second record?

795.8 Å³/cell